Material: HfRh2W
Method: DFT, PBE-GGA
State: relaxed

Cell and atoms, written as POSCAR:
```
HfRh2W
1.0
0.705 -4.083 1.823
-3.443 -2.270 1.867
-1.638 -3.699 -2.031
Rh Hf W
2 1 1
Direct
0.250 0.250 0.250
0.750 0.750 0.750
0.000 0.000 0.000
0.500 0.500 0.500
```

## Properties
Energy relative to the lowest polymorph listed for this composition, meV/atom: 0
E_tot, eV per atom: -9.59
Energy relative to the elements, eV/atom: -0.1909